Run A
VASP calculation (PBE) on crystalline TlCu2Te2 at its relaxed geometry.

Output
- Fermi-level density of states: 0.486 states/eV/atom
- Total moment: 0.000 μB per atom

Cell and atoms, written as CIF:
```
data_TlCu2Te2
_cell_length_a 8.122
_cell_length_b 8.122
_cell_length_c 3.452
_cell_angle_alpha 90.00
_cell_angle_beta 90.00
_cell_angle_gamma 90.00
_symmetry_space_group_name_H-M 'P 4/m b m'
_symmetry_Int_Tables_number 127
_symmetry_space_group_name_Hall '-P 4 2ab'
loop_
_atom_site_label
_atom_site_type_symbol
_atom_site_fract_x
_atom_site_fract_y
_atom_site_fract_z
_atom_site_occupancy
Tl1 Tl 0.000 0.000 0.000 1
Cu1 Cu 0.112 0.388 0.000 1
Te1 Te 0.166 0.666 0.500 1
```

Run B
VASP calculation (PBE) on crystalline TlCu2Te2 at its relaxed geometry.

Output
- Fermi-level density of states: 0.834 states/eV/atom
- Total moment: 0.000 μB per atom

Cell and atoms, written as CIF:
```
data_TlCu2Te2
_cell_length_a 8.594
_cell_length_b 10.789
_cell_length_c 11.556
_cell_angle_alpha 90.00
_cell_angle_beta 90.00
_cell_angle_gamma 90.00
_symmetry_space_group_name_H-M 'F d d d'
_symmetry_Int_Tables_number 70
loop_
_symmetry_equiv_pos_as_xyz
'x,y,z'
'-x,-y,-z'
'-x+1/4,-y+1/4,z'
'x+1/4,y+1/4,-z'
'x,-y+1/4,-z+1/4'
'-x,y+1/4,z+1/4'
'-x+1/4,y,-z+1/4'
'x+1/4,-y,z+1/4'
'x,y+1/2,z+1/2'
'-x,-y+1/2,-z+1/2'
'-x+1/4,-y+3/4,z+1/2'
'x+1/4,y+3/4,-z+1/2'
'x,-y+3/4,-z+3/4'
'-x,y+3/4,z+3/4'
'-x+1/4,y+1/2,-z+3/4'
'x+1/4,-y+1/2,z+3/4'
'x+1/2,y,z+1/2'
'-x+1/2,-y,-z+1/2'
'-x+3/4,-y+1/4,z+1/2'
'x+3/4,y+1/4,-z+1/2'
'x+1/2,-y+1/4,-z+3/4'
'-x+1/2,y+1/4,z+3/4'
'-x+3/4,y,-z+3/4'
'x+3/4,-y,z+3/4'
'x+1/2,y+1/2,z'
'-x+1/2,-y+1/2,-z'
'-x+3/4,-y+3/4,z'
'x+3/4,y+3/4,-z'
'x+1/2,-y+3/4,-z+1/4'
'-x+1/2,y+3/4,z+1/4'
'-x+3/4,y+1/2,-z+1/4'
'x+3/4,-y+1/2,z+1/4'
loop_
_atom_site_label
_atom_site_type_symbol
_atom_site_fract_x
_atom_site_fract_y
_atom_site_fract_z
_atom_site_occupancy
Tl1 Tl 0.125 0.125 0.125 1
Cu1 Cu 0.125 0.005 0.625 1
Te1 Te 0.125 0.125 0.426 1
```

Short version: run B is the most stable of them.

Run A
VASP calculation (PBE) on crystalline Tl2CuTe at its relaxed geometry.

Output
- Fermi-level density of states: 0.253 states/eV/atom
- Total moment: 0.000 μB per atom

Cell and atoms, written as CIF:
```
data_Tl2CuTe
_cell_length_a 5.533
_cell_length_b 4.273
_cell_length_c 5.793
_cell_angle_alpha 90.00
_cell_angle_beta 118.00
_cell_angle_gamma 90.00
_symmetry_space_group_name_H-M 'P 1 m 1'
_symmetry_Int_Tables_number 6
loop_
_symmetry_equiv_pos_as_xyz
'x,y,z'
'x,-y,z'
loop_
_atom_site_label
_atom_site_type_symbol
_atom_site_fract_x
_atom_site_fract_y
_atom_site_fract_z
_atom_site_occupancy
Tl1 Tl 0.000 0.000 0.000 1
Tl2 Tl 0.380 0.500 0.752 1
Cu1 Cu 0.566 0.000 0.135 1
Te1 Te 0.716 0.500 0.420 1
```

Run B
VASP calculation (PBE) on crystalline Tl2CuTe at its relaxed geometry.

Output
- Fermi-level density of states: 0.224 states/eV/atom
- Total moment: 0.000 μB per atom

Cell and atoms, written as CIF:
```
data_Tl2CuTe
_cell_length_a 4.253
_cell_length_b 6.471
_cell_length_c 8.718
_cell_angle_alpha 90.00
_cell_angle_beta 90.00
_cell_angle_gamma 90.00
_symmetry_space_group_name_H-M 'I m m 2'
_symmetry_Int_Tables_number 44
loop_
_symmetry_equiv_pos_as_xyz
'x,y,z'
'-x,-y,z'
'-x,y,z'
'x,-y,z'
'x+1/2,y+1/2,z+1/2'
'-x+1/2,-y+1/2,z+1/2'
'-x+1/2,y+1/2,z+1/2'
'x+1/2,-y+1/2,z+1/2'
loop_
_atom_site_label
_atom_site_type_symbol
_atom_site_fract_x
_atom_site_fract_y
_atom_site_fract_z
_atom_site_occupancy
Tl1 Tl 0.000 0.000 0.000 1
Tl2 Tl 0.000 0.500 0.202 1
Cu1 Cu 0.000 0.500 0.719 1
Te1 Te 0.000 0.000 0.380 1
```

Run C
VASP calculation (PBE) on crystalline Tl2CuTe at its relaxed geometry.

Output
- Fermi-level density of states: 0.195 states/eV/atom
- Total moment: 0.000 μB per atom

Cell and atoms, written as CIF:
```
data_Tl2CuTe
_cell_length_a 7.425
_cell_length_b 4.298
_cell_length_c 7.765
_cell_angle_alpha 90.00
_cell_angle_beta 109.08
_cell_angle_gamma 90.00
_symmetry_space_group_name_H-M 'C 1 m 1'
_symmetry_Int_Tables_number 8
loop_
_symmetry_equiv_pos_as_xyz
'x,y,z'
'x,-y,z'
'x+1/2,y+1/2,z'
'x+1/2,-y+1/2,z'
loop_
_atom_site_label
_atom_site_type_symbol
_atom_site_fract_x
_atom_site_fract_y
_atom_site_fract_z
_atom_site_occupancy
Tl1 Tl 0.000 0.000 0.000 1
Tl2 Tl 0.219 0.000 0.656 1
Cu1 Cu 0.475 0.000 0.428 1
Te1 Te 0.268 0.500 0.311 1
```

Short version: run C is the most stable of them.

Run A
VASP calculation (PBE) on crystalline Tl2Cu2Te at its relaxed geometry.

Output
- Fermi-level density of states: 0.400 states/eV/atom
- Total moment: 0.000 μB per atom

Cell and atoms, written as CIF:
```
data_Tl2Cu2Te
_cell_length_a 3.446
_cell_length_b 3.446
_cell_length_c 20.590
_cell_angle_alpha 90.00
_cell_angle_beta 90.00
_cell_angle_gamma 90.00
_symmetry_space_group_name_H-M 'I 4/m m m'
_symmetry_Int_Tables_number 139
_symmetry_space_group_name_Hall '-I 4 2'
loop_
_atom_site_label
_atom_site_type_symbol
_atom_site_fract_x
_atom_site_fract_y
_atom_site_fract_z
_atom_site_occupancy
Tl1 Tl 0.000 0.000 0.128 1
Cu1 Cu 0.000 0.500 0.250 1
Te1 Te 0.000 0.000 0.500 1
```

Run B
VASP calculation (PBE) on crystalline Tl2Cu2Te at its relaxed geometry.

Output
- Fermi-level density of states: 0.227 states/eV/atom
- Total moment: 0.000 μB per atom

Cell and atoms, written as CIF:
```
data_Tl2Cu2Te
_cell_length_a 7.070
_cell_length_b 7.070
_cell_length_c 4.668
_cell_angle_alpha 90.00
_cell_angle_beta 90.00
_cell_angle_gamma 90.00
_symmetry_space_group_name_H-M 'P 4/m b m'
_symmetry_Int_Tables_number 127
_symmetry_space_group_name_Hall '-P 4 2ab'
loop_
_atom_site_label
_atom_site_type_symbol
_atom_site_fract_x
_atom_site_fract_y
_atom_site_fract_z
_atom_site_occupancy
Tl1 Tl 0.169 0.331 0.000 1
Cu1 Cu 0.124 0.624 0.500 1
Te1 Te 0.000 0.000 0.500 1
```

Short version: run B is the most stable of them.